(1)
VASP calculation (PBE) on an optimized crystal structure of Pm6AlGa.

Summary:
Calculated volume in Å³ per atom: 28.5
Energy relative to the elements in meV per atom: -202

a = 4.8457 Å, b = 4.8457 Å, c = 9.6970 Å
α = 90.00°, β = 90.00°, γ = 90.00°
Last column: nearest neighbours and their distance in Å.
Atoms (fractional coordinates):
Pm1 0.5000 0.5000 0.5000  4 Al 3.43, 8 Pm 3.43
Pm2 0.5000 0.5000 0.0000  8 Pm 3.42, 4 Ga 3.43
Pm3 0.5000 0.0000 0.7510  8 Pm 3.42-3.43, 2 Ga 3.42, 2 Al 3.43
Pm4 0.5000 0.0000 0.2490  8 Pm 3.42-3.43, 2 Ga 3.42, 2 Al 3.43
Pm5 0.0000 0.5000 0.2490  2 Ga 3.42, 8 Pm 3.42-3.43, 2 Al 3.43
Pm6 0.0000 0.5000 0.7510  2 Ga 3.42, 8 Pm 3.42-3.43, 2 Al 3.43
Al1 0.0000 0.0000 0.5000  12 Pm 3.43
Ga1 0.0000 0.0000 0.0000  12 Pm 3.42-3.43

=====

(2)
VASP calculation (PBE) on an optimized crystal structure of Pm12AlGa6.

Summary:
Calculated volume in Å³ per atom: 28.9
Energy relative to the elements in meV per atom: -344

a = 8.9390 Å, b = 8.9390 Å, c = 8.9390 Å
α = 109.47°, β = 109.47°, γ = 109.47°
Last column: nearest neighbours and their distance in Å.
Atoms (fractional coordinates):
Pm1 0.1028 0.8113 0.2914  3 Ga 2.91-3.16
Pm2 0.5199 0.8113 0.7086  3 Ga 2.91-3.16
Pm3 0.1887 0.2914 0.4801  3 Ga 2.91-3.16
Pm4 0.1887 0.7086 0.8972  3 Ga 2.91-3.16
Pm5 0.8972 0.1887 0.7086  3 Ga 2.91-3.16
Pm6 0.2914 0.1028 0.8113  3 Ga 2.91-3.16
Pm7 0.8113 0.7086 0.5199  3 Ga 2.91-3.16
Pm8 0.8113 0.2914 0.1028  3 Ga 2.91-3.16
Pm9 0.7086 0.8972 0.1887  3 Ga 2.91-3.16
Pm10 0.2914 0.4801 0.1887  3 Ga 2.91-3.16
Pm11 0.7086 0.5199 0.8113  3 Ga 2.91-3.16
Pm12 0.4801 0.1887 0.2914  3 Ga 2.91-3.16
Ga1 0.1215 0.6215 0.5000  1 Ga 2.51
Ga2 0.5000 0.8785 0.3785  1 Ga 2.51
Ga3 0.8785 0.3785 0.5000  1 Ga 2.51
Ga4 0.3785 0.5000 0.8785  1 Ga 2.51
Ga5 0.6215 0.5000 0.1215  1 Ga 2.51
Ga6 0.5000 0.1215 0.6215  1 Ga 2.51
Al1 0.0000 0.0000 0.0000  12 Pm 3.58

=====

(3)
VASP calculation (PBE) on an optimized crystal structure of Pm3Al4Ga2.

Summary:
Calculated volume in Å³ per atom: 22.2
Energy relative to the elements in meV per atom: -552

a = 4.5060 Å, b = 5.8843 Å, c = 8.6887 Å
α = 108.65°, β = 90.00°, γ = 112.51°
Last column: nearest neighbours and their distance in Å.
Atoms (fractional coordinates):
Pm1 0.0000 0.0000 0.0000  8 Al 3.15-3.26, 4 Ga 3.21
Pm2 0.3297 0.6595 0.3374  8 Al 3.18-3.32, 4 Ga 3.18-3.26
Pm3 0.6703 0.3405 0.6626  8 Al 3.18-3.32, 4 Ga 3.18-3.26
Al1 0.7295 0.4590 0.0643  1 Ga 2.60, 2 Al 2.62
Al2 0.0454 0.0908 0.3787  2 Ga 2.60, 1 Al 2.62
Al3 0.9546 0.9092 0.6213  2 Ga 2.60, 1 Al 2.62
Al4 0.2705 0.5410 0.9357  1 Ga 2.60, 2 Al 2.62
Ga1 0.6098 0.2196 0.2770  3 Al 2.60
Ga2 0.3902 0.7804 0.7230  3 Al 2.60

=====

(4)
VASP calculation (PBE) on an optimized crystal structure of Pm6Al2Ga.

Summary:
Calculated volume in Å³ per atom: 31.9
E above lowest polymorph in meV/atom: 169
Energy relative to the elements in meV per atom: -94

a = 5.1403 Å, b = 7.2602 Å, c = 8.8817 Å
α = 114.12°, β = 106.79°, γ = 90.00°
Last column: nearest neighbours and their distance in Å.
Atoms (fractional coordinates):
Pm1 0.1651 0.9166 0.3304  1 Ga 3.12, 3 Al 3.15-3.16
Pm2 0.5000 0.7536 0.0000  2 Ga 3.13, 2 Al 3.15
Pm3 0.8349 0.0834 0.6696  1 Ga 3.12, 3 Al 3.15-3.16
Pm4 0.8349 0.5861 0.6696  1 Ga 3.12, 3 Al 3.15-3.16
Pm5 0.1651 0.4139 0.3304  1 Ga 3.12, 3 Al 3.15-3.16
Pm6 0.5000 0.2464 0.0000  2 Ga 3.13, 2 Al 3.15
Al1 0.6662 0.6663 0.3325  8 Pm 3.15-3.16
Al2 0.3338 0.3337 0.6675  8 Pm 3.15-3.16
Ga1 0.0000 0.0000 0.0000  8 Pm 3.12-3.13

=====

(5)
VASP calculation (PBE) on an optimized crystal structure of PmAl4Ga.

Summary:
Calculated volume in Å³ per atom: 20.2
Energy relative to the elements in meV per atom: -171

a = 5.5536 Å, b = 5.5536 Å, c = 5.5536 Å
α = 60.00°, β = 60.00°, γ = 60.00°
Last column: nearest neighbours and their distance in Å.
Atoms (fractional coordinates):
Al1 0.6251 0.1247 0.6251  6 Al 2.77-2.78
Al2 0.6251 0.6251 0.6251  6 Al 2.77-2.78
Al3 0.1247 0.6251 0.6251  6 Al 2.77-2.78
Al4 0.6251 0.6251 0.1247  6 Al 2.77-2.78
Pm1 0.2500 0.2500 0.2500  12 Al 3.26, 4 Ga 3.40
Ga1 0.0000 0.0000 0.0000  12 Al 3.26, 4 Pm 3.40

=====

(6)
VASP calculation (PBE) on an optimized crystal structure of Pm5Al2Ga2.

Summary:
Calculated volume in Å³ per atom: 27.8
Energy relative to the elements in meV per atom: -377

a = 7.6672 Å, b = 8.1726 Å, c = 8.9760 Å
α = 117.08°, β = 90.00°, γ = 90.00°
Last column: nearest neighbours and their distance in Å.
Atoms (fractional coordinates):
Pm1 0.8271 0.8314 0.2867  3 Ga 3.06-3.13, 2 Al 3.21-3.23
Pm2 0.3271 0.9553 0.2867  3 Ga 3.06-3.13, 2 Al 3.21-3.23
Pm3 0.1729 0.4553 0.2867  3 Ga 3.06-3.13, 2 Al 3.21-3.23
Pm4 0.8271 0.5447 0.7133  3 Ga 3.06-3.13, 2 Al 3.21-3.23
Pm5 0.3271 0.6686 0.7133  3 Ga 3.06-3.13, 2 Al 3.21-3.23
Pm6 0.0000 0.0000 0.0000  4 Al 3.14-3.22, 2 Ga 3.35
Pm7 0.6729 0.0447 0.7133  3 Ga 3.06-3.13, 2 Al 3.21-3.23
Pm8 0.6729 0.3314 0.2867  3 Ga 3.06-3.13, 2 Al 3.21-3.23
Pm9 0.1729 0.1686 0.7133  3 Ga 3.06-3.13, 2 Al 3.21-3.23
Pm10 0.5000 0.5000 0.0000  4 Al 3.14-3.22, 2 Ga 3.35
Ga1 0.0000 0.7904 0.5808  7 Pm 3.06-3.35
Ga2 0.5000 0.2904 0.5808  7 Pm 3.06-3.35
Ga3 0.5000 0.7096 0.4192  7 Pm 3.06-3.35
Ga4 0.0000 0.2096 0.4192  7 Pm 3.06-3.35
Al1 0.6108 0.8797 0.0000  1 Al 2.60
Al2 0.1108 0.6203 0.0000  1 Al 2.60
Al3 0.8892 0.3797 0.0000  1 Al 2.60
Al4 0.3892 0.1203 0.0000  1 Al 2.60

=====

(7)
VASP calculation (PBE) on an optimized crystal structure of Pm3Al2Ga.

Summary:
Calculated volume in Å³ per atom: 25.2
E above lowest polymorph in meV/atom: 5
Energy relative to the elements in meV per atom: -428

a = 5.2123 Å, b = 5.2123 Å, c = 6.4165 Å
α = 90.00°, β = 90.00°, γ = 120.00°
Last column: nearest neighbours and their distance in Å.
Atoms (fractional coordinates):
Pm1 0.3333 0.6667 0.1599  3 Ga 3.18, 5 Al 3.21-3.22
Pm2 0.6667 0.3333 0.8401  3 Ga 3.18, 5 Al 3.21-3.22
Pm3 0.0000 0.0000 0.5000  6 Al 3.18, 2 Ga 3.21
Ga1 0.0000 0.0000 0.0000  8 Pm 3.18-3.21
Al1 0.3333 0.6667 0.6598  8 Pm 3.18-3.22
Al2 0.6667 0.3333 0.3402  8 Pm 3.18-3.22

=====

(8)
VASP calculation (PBE) on an optimized crystal structure of Pm5AlGa2.

Summary:
Calculated volume in Å³ per atom: 28.2
Energy relative to the elements in meV per atom: -392

a = 7.8286 Å, b = 7.8286 Å, c = 9.2135 Å
α = 115.14°, β = 115.14°, γ = 90.00°
Last column: nearest neighbours and their distance in Å.
Atoms (fractional coordinates):
Pm1 0.1785 0.0262 0.7047  3 Ga 3.17-3.18, 2 Al 3.26, 1 Pm 3.46
Pm2 0.0262 0.5262 0.7047  3 Ga 3.17-3.18, 2 Al 3.26, 1 Pm 3.46
Pm3 0.5262 0.6785 0.7047  3 Ga 3.17-3.18, 2 Al 3.26, 1 Pm 3.46
Pm4 0.8215 0.9738 0.2953  3 Ga 3.17-3.18, 2 Al 3.26, 1 Pm 3.46
Pm5 0.6785 0.1785 0.7047  3 Ga 3.17-3.18, 2 Al 3.26, 1 Pm 3.46
Pm6 0.4738 0.3215 0.2953  3 Ga 3.17-3.18, 2 Al 3.26, 1 Pm 3.46
Pm7 0.0000 0.0000 0.0000  4 Ga 3.13
Pm8 0.3215 0.8215 0.2953  3 Ga 3.17-3.18, 2 Al 3.26, 1 Pm 3.46
Pm9 0.9738 0.4738 0.2953  3 Ga 3.17-3.18, 2 Al 3.26, 1 Pm 3.46
Pm10 0.5000 0.5000 0.0000  4 Ga 3.13
Ga1 0.1177 0.3823 0.0000  1 Ga 2.61
Ga2 0.8823 0.6177 0.0000  1 Ga 2.61
Ga3 0.6177 0.1177 0.0000  1 Ga 2.61
Ga4 0.3823 0.8823 0.0000  1 Ga 2.61
Al1 0.2500 0.2500 0.5000  8 Pm 3.26
Al2 0.7500 0.7500 0.5000  8 Pm 3.26

=====

> Number 8 is which compound?

Pm5AlGa2

=====

> Which of these has the highest calculated volume?

Pm6Al2Ga